[1]
Material: SiBr
Method: DFT, meta-GGA SCAN
State: single point on PBEsol structure

The structure belongs to space group R-3m (No. 166, hexagonal axes); the cell edges are 3.8612, 3.8612 and 22.3815 Å and the angles 90.00°, 90.00° and 120.00°. The inequivalent atoms are Si at (0.0000, 0.0000, 0.1825) and Br at (0.0000, 0.0000, 0.4040).

For the density of states at the Fermi level, the calculation gives 0.085 states/eV/atom. The energy relative to the lowest polymorph listed for this composition is 0.037 eV/atom.

---

[2]
Material: Si2SnBr
Method: DFT, meta-GGA SCAN
State: single point on PBEsol structure

The structure belongs to space group I-42d (No. 122); the cell edges are 5.3810, 5.3810 and 14.8092 Å and the angles 90.00°, 90.00° and 90.00°. The inequivalent atoms are Si at (0.2457, 0.2500, 0.1250), Sn at (0.0000, 0.0000, 0.5000) and Br at (0.0000, 0.0000, 0.0000).

For the density of states at the Fermi level, the calculation gives 0.342 states/eV/atom. For the raw total energy, the calculation gives -18.0709 eV/atom.

---

[3]
Material: SiSnBr2
Method: DFT, meta-GGA SCAN
State: single point on PBEsol structure

The structure belongs to space group I-42d (No. 122); the cell edges are 4.6987, 4.6987 and 19.0437 Å and the angles 90.00°, 90.00° and 90.00°. The inequivalent atoms are Si at (0.0000, 0.0000, 0.0000), Sn at (0.0000, 0.0000, 0.5000) and Br at (0.2352, 0.2500, 0.1250).

For the density of states at the Fermi level, the calculation gives 0.505 states/eV/atom. For the raw total energy, the calculation gives -20.9347 eV/atom.

---

[4]
Material: SrSiBr4
Method: DFT, meta-GGA SCAN
State: single point on PBEsol structure

The structure belongs to space group F-43m (No. 216); the cell edges are 8.8026, 8.8026 and 8.8026 Å and the angles 90.00°, 90.00° and 90.00°. The inequivalent atoms are Sr at (0.0000, 0.0000, 0.0000), Si at (0.2500, 0.2500, 0.2500) and Br at (0.1250, 0.1250, 0.6250).

For the density of states at the Fermi level, the calculation gives 0.693 states/eV/atom. For the raw total energy, the calculation gives -18.3128 eV/atom.